(1)
The following is a PBE calculation of an optimized crystal structure of K2TmGeTe4, from Alexandria via LeMat-Bulk.

The value obtained for the calculated total energy is -3.80 eV per atom. For the density of states at the Fermi level, the calculation gives 8.57 states/eV/f.u.

CIF file:
```
data_K2TmGeTe4
_chemical_formula_sum 'K8 Tm4 Ge4 Te16'
_symmetry_space_group_name_H-M 'I m m a'
_symmetry_Int_Tables_number 74
_symmetry_space_group_name_Hall '-I 2b 2'
_cell_length_a 9.024
_cell_length_b 9.395
_cell_length_c 13.008
_cell_angle_alpha 90.00
_cell_angle_beta 90.00
_cell_angle_gamma 90.00
loop_
_atom_site_label
_atom_site_type_symbol
_atom_site_fract_x
_atom_site_fract_y
_atom_site_fract_z
K1 K 0.000 0.000 0.000
K2 K 0.250 0.250 0.250
Tm1 Tm 0.250 0.250 0.750
Ge1 Ge 0.000 0.000 0.500
Te1 Te 0.000 0.028 0.733
Te2 Te 0.215 0.250 0.517
```

---

(2)
The following is a PBE calculation of an optimized crystal structure of KTmGeTe3, from Alexandria via LeMat-Bulk.

The value obtained for the calculated total energy is -4.20 eV per atom.

CIF file:
```
data_KTmGeTe3
_chemical_formula_sum 'K2 Tm2 Ge2 Te6'
_symmetry_space_group_name_H-M 'P 1 21/m 1'
_symmetry_Int_Tables_number 11
_symmetry_space_group_name_Hall '-P 2yb'
_cell_length_a 9.205
_cell_length_b 4.270
_cell_length_c 11.630
_cell_angle_alpha 90.00
_cell_angle_beta 109.81
_cell_angle_gamma 90.00
loop_
_atom_site_label
_atom_site_type_symbol
_atom_site_fract_x
_atom_site_fract_y
_atom_site_fract_z
K1 K 0.231 0.250 0.279
Tm1 Tm 0.365 0.750 0.841
Ge1 Ge 0.118 0.250 0.552
Te1 Te 0.109 0.250 0.782
Te2 Te 0.331 0.750 0.567
Te3 Te 0.388 0.750 0.107
```

---

(3)
The following is a PBE calculation of an optimized crystal structure of K2UGeTe4, from Alexandria via LeMat-Bulk.

The value obtained for the calculated total energy is -4.54 eV per atom. For the density of states at the Fermi level, the calculation gives 5.10 states/eV/f.u.

CIF file:
```
data_K2UGeTe4
_chemical_formula_sum 'K2 U1 Ge1 Te4'
_symmetry_space_group_name_H-M 'P 1 2/m 1'
_symmetry_Int_Tables_number 10
_symmetry_space_group_name_Hall '-P 2y'
_cell_length_a 7.837
_cell_length_b 4.507
_cell_length_c 8.481
_cell_angle_alpha 90.00
_cell_angle_beta 107.37
_cell_angle_gamma 90.00
loop_
_atom_site_label
_atom_site_type_symbol
_atom_site_fract_x
_atom_site_fract_y
_atom_site_fract_z
K1 K 0.000 0.000 0.000
K2 K 0.500 0.500 0.000
U1 U 0.000 0.500 0.500
Ge1 Ge 0.500 0.000 0.500
Te1 Te 0.237 0.000 0.703
Te2 Te 0.265 0.500 0.302
```

---

(4)
The following is a PBE calculation of an optimized crystal structure of KVGeTe3, from Alexandria via LeMat-Bulk.

The value obtained for the calculated total energy is -4.49 eV per atom.

CIF file:
```
data_KVGeTe3
_chemical_formula_sum 'K2 V2 Ge2 Te6'
_symmetry_space_group_name_H-M 'P 1 21/m 1'
_symmetry_Int_Tables_number 11
_symmetry_space_group_name_Hall '-P 2yb'
_cell_length_a 8.996
_cell_length_b 4.093
_cell_length_c 11.200
_cell_angle_alpha 90.00
_cell_angle_beta 113.38
_cell_angle_gamma 90.00
loop_
_atom_site_label
_atom_site_type_symbol
_atom_site_fract_x
_atom_site_fract_y
_atom_site_fract_z
K1 K 0.066 0.250 0.277
V1 V 0.477 0.750 0.869
Ge1 Ge 0.431 0.250 0.550
Te1 Te 0.249 0.750 0.597
Te2 Te 0.283 0.250 0.896
Te3 Te 0.355 0.750 0.203
```

---

(5)
The following is a PBE calculation of an optimized crystal structure of KTiGe2, from Alexandria via LeMat-Bulk.

The value obtained for the calculated total energy is -4.18 eV per atom. For the density of states at the Fermi level, the calculation gives 2.34 states/eV/f.u. As for the formation enthalpy at 0 K: 372 meV per atom. The distance to the lowest polymorph of the same formula is 215 meV per atom.

CIF file:
```
data_KTiGe2
_chemical_formula_sum 'K4 Ti4 Ge8'
_symmetry_space_group_name_H-M 'F m -3 m'
_symmetry_Int_Tables_number 225
_symmetry_space_group_name_Hall '-F 4 2 3'
_cell_length_a 6.976
_cell_length_b 6.976
_cell_length_c 6.976
_cell_angle_alpha 90.00
_cell_angle_beta 90.00
_cell_angle_gamma 90.00
loop_
_atom_site_label
_atom_site_type_symbol
_atom_site_fract_x
_atom_site_fract_y
_atom_site_fract_z
K1 K 0.000 0.000 0.000
Ti1 Ti 0.000 0.000 0.500
Ge1 Ge 0.250 0.250 0.250
```

---

(6)
The following is a PBE calculation of an optimized crystal structure of KTiGe2, from Alexandria via LeMat-Bulk.

The value obtained for the calculated total energy is -4.40 eV per atom. For the density of states at the Fermi level, the calculation gives 2.14 states/eV/f.u. As for the formation enthalpy at 0 K: 157 meV per atom. The distance to the lowest polymorph of the same formula is 0 meV per atom.

CIF file:
```
data_KTiGe2
_chemical_formula_sum 'K4 Ti4 Ge8'
_symmetry_space_group_name_H-M 'I -4 2 d'
_symmetry_Int_Tables_number 122
_symmetry_space_group_name_Hall 'I -4 2bw'
_cell_length_a 5.659
_cell_length_b 5.659
_cell_length_c 16.563
_cell_angle_alpha 90.00
_cell_angle_beta 90.00
_cell_angle_gamma 90.00
loop_
_atom_site_label
_atom_site_type_symbol
_atom_site_fract_x
_atom_site_fract_y
_atom_site_fract_z
K1 K 0.000 0.000 0.000
Ti1 Ti 0.000 0.000 0.500
Ge1 Ge 0.008 0.250 0.625
```

---

(7)
The following is a PBE calculation of an optimized crystal structure of KTi3Ge, from Alexandria via LeMat-Bulk.

The value obtained for the calculated total energy is -4.00 eV per atom. For the density of states at the Fermi level, the calculation gives 4.59 states/eV/f.u. As for the formation enthalpy at 0 K: 1878 meV per atom. The distance to the lowest polymorph of the same formula is 1091 meV per atom.

CIF file:
```
data_KTi3Ge
_chemical_formula_sum 'K1 Ti3 Ge1'
_symmetry_space_group_name_H-M 'P m -3 m'
_symmetry_Int_Tables_number 221
_symmetry_space_group_name_Hall '-P 4 2 3'
_cell_length_a 4.495
_cell_length_b 4.495
_cell_length_c 4.495
_cell_angle_alpha 90.00
_cell_angle_beta 90.00
_cell_angle_gamma 90.00
loop_
_atom_site_label
_atom_site_type_symbol
_atom_site_fract_x
_atom_site_fract_y
_atom_site_fract_z
K1 K 0.000 0.000 0.000
Ti1 Ti 0.000 0.000 0.500
Ge1 Ge 0.500 0.500 0.500
```

---

(8)
The following is a PBE calculation of an optimized crystal structure of K3TiGe, from Alexandria via LeMat-Bulk.

The value obtained for the calculated total energy is -2.14 eV per atom. For the density of states at the Fermi level, the calculation gives 33.92 states/eV/f.u. As for the formation enthalpy at 0 K: 1019 meV per atom. The distance to the lowest polymorph of the same formula is 0 meV per atom.

CIF file:
```
data_K3TiGe
_chemical_formula_sum 'K3 Ti1 Ge1'
_symmetry_space_group_name_H-M 'P m -3 m'
_symmetry_Int_Tables_number 221
_symmetry_space_group_name_Hall '-P 4 2 3'
_cell_length_a 6.436
_cell_length_b 6.436
_cell_length_c 6.436
_cell_angle_alpha 90.00
_cell_angle_beta 90.00
_cell_angle_gamma 90.00
loop_
_atom_site_label
_atom_site_type_symbol
_atom_site_fract_x
_atom_site_fract_y
_atom_site_fract_z
K1 K 0.000 0.000 0.500
Ti1 Ti 0.500 0.500 0.500
Ge1 Ge 0.000 0.000 0.000
```

---

(9)
The following is a PBE calculation of an optimized crystal structure of KTi2Ge2, from Alexandria via LeMat-Bulk.

The value obtained for the calculated total energy is -5.40 eV per atom. For the density of states at the Fermi level, the calculation gives 0.60 states/eV/f.u. As for the formation enthalpy at 0 K: -180 meV per atom.

CIF file:
```
data_KTi2Ge2
_chemical_formula_sum 'K2 Ti4 Ge4'
_symmetry_space_group_name_H-M 'P 4/m b m'
_symmetry_Int_Tables_number 127
_symmetry_space_group_name_Hall '-P 4 2ab'
_cell_length_a 8.247
_cell_length_b 8.247
_cell_length_c 2.845
_cell_angle_alpha 90.00
_cell_angle_beta 90.00
_cell_angle_gamma 90.00
loop_
_atom_site_label
_atom_site_type_symbol
_atom_site_fract_x
_atom_site_fract_y
_atom_site_fract_z
K1 K 0.000 0.000 0.000
Ti1 Ti 0.121 0.379 0.000
Ge1 Ge 0.166 0.666 0.500
```

---

(10)
The following is a PBE calculation of an optimized crystal structure of KTi3Ge, from Alexandria via LeMat-Bulk.

The value obtained for the calculated total energy is -5.09 eV per atom. For the density of states at the Fermi level, the calculation gives 7.18 states/eV/f.u. As for the formation enthalpy at 0 K: 787 meV per atom. The distance to the lowest polymorph of the same formula is 0 meV per atom.

CIF file:
```
data_KTi3Ge
_chemical_formula_sum 'K1 Ti3 Ge1'
_symmetry_space_group_name_H-M 'P m -3 m'
_symmetry_Int_Tables_number 221
_symmetry_space_group_name_Hall '-P 4 2 3'
_cell_length_a 4.993
_cell_length_b 4.993
_cell_length_c 4.993
_cell_angle_alpha 90.00
_cell_angle_beta 90.00
_cell_angle_gamma 90.00
loop_
_atom_site_label
_atom_site_type_symbol
_atom_site_fract_x
_atom_site_fract_y
_atom_site_fract_z
K1 K 0.000 0.000 0.000
Ti1 Ti 0.000 0.500 0.500
Ge1 Ge 0.500 0.500 0.500
```

---

(11)
The following is a PBE calculation of an optimized crystal structure of KTl2Ge, from Alexandria via LeMat-Bulk.

The value obtained for the calculated total energy is -2.61 eV per atom. For the density of states at the Fermi level, the calculation gives 1.97 states/eV/f.u. As for the formation enthalpy at 0 K: -2 meV per atom. The distance to the lowest polymorph of the same formula is 1 meV per atom.

CIF file:
```
data_KTl2Ge
_chemical_formula_sum 'K3 Tl6 Ge3'
_symmetry_space_group_name_H-M 'R 3 m'
_symmetry_Int_Tables_number 160
_symmetry_space_group_name_Hall 'R 3 -2"'
_cell_length_a 4.7473
_cell_length_b 4.7473
_cell_length_c 20.8955
_cell_angle_alpha 90.00
_cell_angle_beta 90.00
_cell_angle_gamma 120.00
loop_
_atom_site_label
_atom_site_type_symbol
_atom_site_fract_x
_atom_site_fract_y
_atom_site_fract_z
K1 K 0.0000 0.0000 0.0000
Tl1 Tl 0.0000 0.0000 0.5621
Tl2 Tl 0.0000 0.0000 0.7814
Ge1 Ge 0.0000 0.0000 0.1782
```

---

(12)
The following is a PBE calculation of an optimized crystal structure of KTlGe3, from Alexandria via LeMat-Bulk.

The value obtained for the calculated total energy is -2.19 eV per atom. For the density of states at the Fermi level, the calculation gives 3.60 states/eV/f.u. As for the formation enthalpy at 0 K: 1278 meV per atom. The distance to the lowest polymorph of the same formula is 637 meV per atom.

CIF file:
```
data_KTlGe3
_chemical_formula_sum 'K1 Tl1 Ge3'
_symmetry_space_group_name_H-M 'P m -3 m'
_symmetry_Int_Tables_number 221
_symmetry_space_group_name_Hall '-P 4 2 3'
_cell_length_a 5.622
_cell_length_b 5.622
_cell_length_c 5.622
_cell_angle_alpha 90.00
_cell_angle_beta 90.00
_cell_angle_gamma 90.00
loop_
_atom_site_label
_atom_site_type_symbol
_atom_site_fract_x
_atom_site_fract_y
_atom_site_fract_z
K1 K 0.000 0.000 0.000
Tl1 Tl 0.500 0.500 0.500
Ge1 Ge 0.000 0.000 0.500
```